1.
## Ca2TcCl (PBE-GGA)

Data for crystalline Ca2TcCl at its relaxed geometry.

a b c (Å): 7.6254 7.6254 6.5853
angles (deg): 54.62 54.62 90.00
Last column: nearest neighbours and their distance in Å.
Atoms (fractional coordinates):
Cl1 0.2500 0.7500 0.5000  4 Ca 2.76
Ca1 0.6058 0.1250 0.2500  2 Cl 2.76, 2 Tc 2.96
Tc1 0.7500 0.2500 0.5000  4 Ca 2.96
Ca2 0.8750 0.8558 0.7500  2 Cl 2.76, 2 Tc 2.96
Tc2 0.0000 0.0000 0.0000  4 Ca 2.96
Ca3 0.3750 0.3942 0.7500  2 Cl 2.76, 2 Tc 2.96
Cl2 0.5000 0.5000 0.0000  4 Ca 2.76
Ca4 0.1442 0.6250 0.2500  2 Cl 2.76, 2 Tc 2.96

Values from the calculation:
Total magnetization: 2.1 μB/f.u.

---

2.
## Ca2TcCl (PBE-GGA)

Data for crystalline Ca2TcCl at its relaxed geometry.

a b c (Å): 5.9834 5.9834 5.9834
angles (deg): 145.48 111.60 78.93
Last column: nearest neighbours and their distance in Å.
Atoms (fractional coordinates):
Cl1 0.7500 0.2500 0.5000  4 Ca 2.76
Tc1 0.2500 0.7500 0.5000  4 Ca 3.07
Ca1 0.5212 0.5212 0.0000  2 Cl 2.76, 2 Tc 3.07
Ca2 0.9788 0.9788 0.0000  2 Cl 2.76, 2 Tc 3.07

Values from the calculation:
Total magnetization: 2.5 μB/f.u.

---

Here are the energies relative to the best structure, in meV/atom: 1 14; 2 0.